VASP calculation (PBE+U) on an optimized crystal structure of WO.

**DOS(E_F)**: 0.44 states/eV/f.u.
**Final energy**: -13.3 eV/f.u.

Cell: 2.844 2.844 7.036 Å, 90.00 90.00 120.00°
Sites, in units of the cell vectors:
1 W 0.333 0.667 0.000
2 W 0.667 0.333 0.500
3 O 0.333 0.667 0.702
4 O 0.667 0.333 0.202